A relaxed LiBeZnIn crystal, computed with PBE.

```
LiBeZnIn
1.0
0.0000 3.1286 3.1286
3.1286 0.0000 3.1286
3.1286 3.1286 0.0000
Be In Li Zn
1 1 1 1
direct
0.2500 0.2500 0.2500
0.0000 0.0000 0.0000
0.5000 0.5000 0.5000
0.7500 0.7500 0.7500
```

Summary:
Final energy ... -9.1 eV for the cell shown
Symmetry ... F-43m, No. 216
Relative energy among the computed polymorphs ... 6.6 kJ per mole of atoms